# 1
# Li5Ga6Cu

A relaxed structure of Li5Ga6Cu (GGA-PBE, Alexandria).

Cell: 3.9474 11.7927 7.8954 Å, 90.00 90.00 90.00°
Closest atoms and distances in Å follow each position.
Space group Cmmm (No. 65)
Symmetry-distinct sites (fractional):
Li: 0.0000 0.0000 0.0000 [2 per cell]  4 Li 2.78, 8 Ga 2.83-2.84
Li: 0.0000 0.3337 0.0000 [4 per cell]  4 Li 2.78-2.79, 8 Ga 2.84-2.86
Li: 0.0000 0.3377 0.5000 [4 per cell]  8 Ga 2.70-2.78, 2 Cu 2.75, 2 Li 2.86
Ga: 0.0000 0.1652 0.2601 [8 per cell]  1 Cu 2.72, 7 Li 2.74-2.86, 4 Ga 2.77-2.81
Ga: 0.0000 0.5000 0.2594 [4 per cell]  6 Li 2.70-2.84, 2 Cu 2.74, 4 Ga 2.77
Cu: 0.0000 0.0000 0.5000 [2 per cell]  8 Ga 2.72-2.74, 4 Li 2.75

ΔE_f ... -0.248 eV/atom
Uncorrected energy ... -69.61 eV/cell

# 2
# SiINO2

A relaxed structure of SiINO2 (GGA-PBE, Alexandria).

Cell: 3.5648 3.5648 4.1693 Å, 90.00 90.00 90.00°
Closest atoms and distances in Å follow each position.
Space group P4/mmm (No. 123)
Symmetry-distinct sites (fractional):
Si: 0.0000 0.0000 0.0000 [1 per cell]  4 O 1.78
I: 0.5000 0.5000 0.5000 [1 per cell]  4 N 2.52, 8 O 2.74
N: 0.0000 0.0000 0.5000 [1 per cell]  2 Si 2.08
O: 0.0000 0.5000 0.0000 [2 per cell]  2 Si 1.78

Raw formation energy ... -0.271 eV/atom
Uncorrected energy ... -26.57 eV/cell

# 3
# Ca2PuN2

A relaxed structure of Ca2PuN2 (GGA-PBE, Alexandria).

Cell: 6.1345 3.5419 9.2773 Å, 90.00 103.26 90.00°
Closest atoms and distances in Å follow each position.
Space group C2/m (No. 12)
Symmetry-distinct sites (fractional):
Ca: 0.2284 0.0000 0.1976 [4 per cell]  3 N 2.50
Pu: 0.0000 0.0000 0.5000 [2 per cell]  6 N 2.42
N: 0.1172 0.5000 0.3577 [4 per cell]  3 Pu 2.42, 3 Ca 2.50

Raw formation energy ... -0.955 eV/atom
Uncorrected energy ... -79.52 eV/cell

# 4
# Sr3TlO

A relaxed structure of Sr3TlO (GGA-PBE, Alexandria).

Cell: 8.8235 7.1396 13.1159 Å, 90.00 128.44 90.00°
Closest atoms and distances in Å follow each position.
Space group P2_1/c (No. 14)
Symmetry-distinct sites (fractional):
Sr: 0.1268 0.0092 0.4434 [4 per cell]  2 O 2.51-2.53
Sr: 0.1416 0.5024 0.4548 [4 per cell]  2 O 2.49-2.57
Sr: 0.3621 0.2477 0.2789 [4 per cell]  1 O 2.41
Tl: 0.3735 0.7485 0.8465 [4 per cell]  9 Sr 3.59-4.01
O: 0.0669 0.2490 0.5572 [4 per cell]  5 Sr 2.41-2.57

Raw formation energy ... -1.184 eV/atom
Uncorrected energy ... -73.16 eV/cell

# 5
# Ho4InHg2Pd

A relaxed structure of Ho4InHg2Pd (GGA-PBE, Alexandria).

Cell: 5.1857 5.1857 25.2738 Å, 90.00 90.00 120.00°
Closest atoms and distances in Å follow each position.
Space group R-3m (No. 166, hexagonal axes)
Symmetry-distinct sites (fractional):
Ho: 0.0000 0.0000 0.1177 [6 per cell]  1 Pd 2.97, 4 Hg 3.08-3.21, 3 In 3.24
Ho: 0.0000 0.0000 0.3697 [6 per cell]  3 Pd 3.13, 4 Hg 3.16-3.27, 1 In 3.29
In: 0.0000 0.0000 0.5000 [3 per cell]  8 Ho 3.24-3.29, 6 Hg 3.58
Hg: 0.0000 0.0000 0.2446 [6 per cell]  8 Ho 3.08-3.27
Pd: 0.0000 0.0000 0.0000 [3 per cell]  8 Ho 2.97-3.13

ΔE_f ... -0.574 eV/atom
Uncorrected energy ... -94.32 eV/cell

# 6
# BeRhBr

A relaxed structure of BeRhBr (GGA-PBE, Alexandria).

Cell: 3.3155 3.7145 9.1218 Å, 89.78 81.83 89.98°
Closest atoms and distances in Å follow each position.
Space group P-1 (No. 2)
Symmetry-distinct sites (fractional):
Be: 0.0456 0.2507 0.4303 [2 per cell]  2 Be 2.25, 4 Rh 2.28-2.40, 1 Br 2.32
Rh: 0.4926 0.2490 0.6095 [2 per cell]  4 Be 2.28-2.40
Br: 0.4427 0.2529 0.1988 [2 per cell]  1 Be 2.32, 2 Rh 2.58

Raw formation energy ... -0.429 eV/atom
Uncorrected energy ... -28.07 eV/cell